# 1
Zn2FeHg | SCAN | PBEsol geometry

```
Zn2FeHg
1.0
2.8278 0.0000 0.0000
1.4139 2.4489 0.0000
1.4139 0.8163 8.8228
Fe Hg Zn
1 1 2
Cartesian
2.8278 1.6326 4.2521
4.2417 2.4489 6.5112
4.2417 2.4489 0.1690
1.4139 0.8163 2.3020
```

Properties
Its density is 10.52 Mg/m³. For the energy relative to the elements, the calculation gives 1.01 eV/f.u. For the density of states at the Fermi level, the calculation gives 0.593 states/eV per atom. The symmetry is R3m, No. 160.

# 2
Zn2FeHg | SCAN | PBEsol geometry

```
Zn2FeHg
1.0
-0.8786 1.7198 -1.9824
-0.2596 -2.1414 -1.7340
-7.4337 -1.0377 2.3944
Fe Hg Zn
1 1 2
Cartesian
-4.2860 -0.7296 -0.6610
-0.5691 -0.2108 -1.8582
-2.1741 -0.3035 0.7003
-5.2595 -0.7342 1.6941
```

Properties
Its density is 10.66 Mg/m³. For the energy relative to the elements, the calculation gives 0.52 eV/f.u. For the density of states at the Fermi level, the calculation gives 0.419 states/eV per atom. The symmetry is Cmmm, No. 65.

# 3
ZnFe2Hg | SCAN | PBEsol geometry

```
ZnFe2Hg
1.0
4.2866 0.0000 0.0000
2.1433 3.7123 0.0000
2.1433 1.2374 3.5000
Fe Hg Zn
2 1 1
Cartesian
0.0000 0.0000 0.0000
2.1433 1.2374 0.8750
4.2866 2.4749 1.7500
6.4299 3.7123 2.6250
```

Properties
Its density is 11.26 Mg/m³. For the energy relative to the elements, the calculation gives 0.77 eV/f.u. For the density of states at the Fermi level, the calculation gives 0.370 states/eV per atom. The symmetry is F-43m, No. 216.

# 4
ZnFe2Hg | SCAN | PBEsol geometry

```
ZnFe2Hg
1.0
3.0536 0.0000 0.0000
0.0000 4.3389 0.0000
-1.5268 -2.1695 4.2209
Fe Hg Zn
2 1 1
Cartesian
1.5268 2.1695 4.0905
0.0000 2.1695 2.3121
1.5268 2.1695 0.0410
1.5268 0.0000 1.9983
```

Properties
Its density is 11.21 Mg/m³. For the energy relative to the elements, the calculation gives 0.92 eV/f.u. For the density of states at the Fermi level, the calculation gives 0.473 states/eV per atom. The symmetry is Imm2, No. 44.

# 5
ZnFe2Hg | SCAN | PBEsol geometry

```
ZnFe2Hg
1.0
-2.1127 -1.0147 -1.3445
-1.1099 -1.8301 3.1252
-2.9901 4.2997 1.4559
Fe Hg Zn
2 1 1
Cartesian
-4.2638 2.0794 -0.2967
-0.8390 1.2056 0.4080
-1.6113 -1.4224 0.8903
-3.1063 0.7275 1.6183
```

Properties
Its density is 11.27 Mg/m³. For the energy relative to the elements, the calculation gives 0.72 eV/f.u. For the density of states at the Fermi level, the calculation gives 0.528 states/eV per atom. The symmetry is Pmmm, No. 47.

# 6
ZnFe2Hg | SCAN | PBEsol geometry

```
ZnFe2Hg
1.0
2.7020 0.0297 0.0000
-0.6469 2.6236 0.0000
0.0000 0.0000 8.1193
Fe Hg Zn
2 1 1
Cartesian
0.0000 0.0000 8.0382
1.0275 1.3266 6.3584
0.0000 0.0000 4.1572
1.0275 1.3266 1.7446
```

Properties
Its density is 10.87 Mg/m³. For the energy relative to the elements, the calculation gives 0.87 eV/f.u. For the density of states at the Fermi level, the calculation gives 0.527 states/eV per atom. The symmetry is Cmm2, No. 35.

# 7
ZrFeHg | SCAN | PBEsol geometry

```
ZrFeHg
1.0
-3.4486 -2.2151 -1.7577
0.7150 -3.6505 -2.4601
-1.1156 -4.0144 1.5903
Fe Hg Zr
1 1 1
Cartesian
-1.9246 -4.9400 -1.3137
-2.8870 -7.4100 -1.9706
0.0000 0.0000 0.0000
```

Properties
Its density is 9.20 Mg/m³. For the energy relative to the elements, the calculation gives 0.91 eV/f.u. For the density of states at the Fermi level, the calculation gives 1.956 states/eV per atom. The symmetry is F-43m, No. 216.

# 8
ZrFeHg2 | SCAN | PBEsol geometry

```
ZrFeHg2
1.0
-0.9794 0.0225 -2.8038
-3.7464 -3.2662 1.2824
-1.7156 4.7956 0.6378
Fe Hg Zr
1 2 1
Cartesian
-3.2207 0.7760 -0.4418
-1.8732 -1.6331 0.6412
-0.8578 2.3978 0.3189
-0.4897 0.0113 -1.4019
```

Properties
Its density is 12.28 Mg/m³. For the energy relative to the elements, the calculation gives 0.30 eV/f.u. The value obtained for the polymorph energy (0 for the lowest one) is 0.120 eV/atom. For the density of states at the Fermi level, the calculation gives 0.818 states/eV per atom. The symmetry is Cmmm, No. 65.

# 9
ZrFeHg2 | SCAN | PBEsol geometry

```
ZrFeHg2
1.0
-1.5242 -1.3412 3.6933
1.3732 -3.9798 -0.8786
3.5679 3.4816 0.3321
Fe Hg Zr
1 2 1
Cartesian
0.6866 -1.9899 -0.4393
1.6577 -2.2531 2.2706
1.7592 0.4136 0.8762
-0.7621 -0.6706 1.8467
```

Properties
Its density is 12.60 Mg/m³. For the energy relative to the elements, the calculation gives -0.18 eV/f.u. The value obtained for the polymorph energy (0 for the lowest one) is 0.000 eV/atom. For the density of states at the Fermi level, the calculation gives 0.603 states/eV per atom. The symmetry is Immm, No. 71.

# 10
ZrFeHg2 | SCAN | PBEsol geometry

```
ZrFeHg2
1.0
4.1337 0.0000 0.0000
0.0000 4.1337 0.0000
0.0000 0.0000 4.3067
Fe Hg Zr
1 2 1
Cartesian
0.0000 0.0000 2.1534
0.0000 2.0668 0.0000
2.0668 0.0000 0.0000
2.0668 2.0668 2.1534
```

Properties
Its density is 12.37 Mg/m³. For the energy relative to the elements, the calculation gives -0.03 eV/f.u. The value obtained for the polymorph energy (0 for the lowest one) is 0.039 eV/atom. For the density of states at the Fermi level, the calculation gives 0.916 states/eV per atom. The symmetry is P4/mmm, No. 123.

# 11
ZrFe4Hg | SCAN | PBEsol geometry

```
ZrFe4Hg
1.0
-3.3967 3.4535 -0.1476
-4.6840 -1.2174 -0.2516
-2.8976 0.7136 3.8184
Fe Hg Zr
4 1 1
Cartesian
-4.1268 1.1088 1.2853
-5.5651 1.4630 3.1807
-5.8128 2.8231 1.2120
-6.4519 0.5045 1.1604
-8.2337 2.2122 2.5644
0.0000 0.0000 0.0000
```

Properties
Its density is 10.63 Mg/m³. For the energy relative to the elements, the calculation gives -0.42 eV/f.u. For the density of states at the Fermi level, the calculation gives 1.034 states/eV per atom. The symmetry is F-43m, No. 216.

# 12
ZrFe2Hg | SCAN | PBEsol geometry

```
ZrFe2Hg
1.0
-2.9231 1.0264 1.1962
1.1198 -1.3298 3.8772
2.6293 4.0822 -1.6876
Fe Hg Zr
2 1 1
Cartesian
0.7304 3.5614 3.3389
1.5035 1.4818 2.4024
-0.8519 -0.0386 2.5612
-0.6317 2.4012 1.0060
```

Properties
Its density is 10.85 Mg/m³. For the energy relative to the elements, the calculation gives 0.09 eV/f.u. For the density of states at the Fermi level, the calculation gives 0.649 states/eV per atom. The symmetry is Imm2, No. 44.